(1)
VASP calculation (GGA-PBE) on a relaxed structure of CaTe2Pb2.

a b c (Å): 8.665 8.665 4.374
angles (deg): 90.00 90.00 90.00
Positions (direct):
Ca 0.000 0.000 0.000
Ca 0.500 0.500 0.000
Te 0.182 0.318 0.500
Te 0.318 0.818 0.500
Te 0.682 0.182 0.500
Te 0.818 0.682 0.500
Pb 0.134 0.634 0.000
Pb 0.366 0.134 0.000
Pb 0.634 0.866 0.000
Pb 0.866 0.366 0.000

total magnetization = 0.00 μB/cell
density = 7.2 g/cm3
E_form (uncorrected) = -0.3590 eV/atom
crystal system = tetragonal



(2)
VASP calculation (GGA-PBE) on a relaxed structure of CaTePb3.

a b c (Å): 5.916 5.916 5.916
angles (deg): 90.00 90.00 90.00
Positions (direct):
Ca 0.000 0.000 0.000
Te 0.500 0.500 0.500
Pb 0.000 0.000 0.500
Pb 0.000 0.500 0.000
Pb 0.500 0.000 0.000

total magnetization = 1.15 μB/cell
density = 6.3 g/cm3
E_form (uncorrected) = 0.5662 eV/atom
crystal system = cubic



(3)
VASP calculation (GGA-PBE) on a relaxed structure of Ca3Te4Pb.

a b c (Å): 10.876 9.455 6.398
angles (deg): 90.00 90.00 90.00
Positions (direct):
Ca 0.000 0.165 0.000
Ca 0.250 0.333 0.500
Ca 0.250 0.667 0.000
Ca 0.500 0.835 0.500
Ca 0.750 0.333 0.500
Ca 0.750 0.667 0.000
Te 0.000 0.171 0.500
Te 0.000 0.833 0.999
Te 0.245 0.337 0.000
Te 0.255 0.663 0.500
Te 0.500 0.167 0.499
Te 0.500 0.829 0.000
Te 0.745 0.663 0.500
Te 0.755 0.337 0.000
Pb 0.000 0.832 0.499
Pb 0.500 0.168 0.999

total magnetization = 0.00 μB/cell
density = 4.2 g/cm3
E_form (uncorrected) = -1.2227 eV/atom
crystal system = orthorhombic



(4)
VASP calculation (GGA-PBE) on a relaxed structure of CaTePb.

a b c (Å): 7.506 7.506 7.506
angles (deg): 90.00 90.00 90.00
Positions (direct):
Ca 0.000 0.000 0.000
Ca 0.000 0.500 0.500
Ca 0.500 0.000 0.500
Ca 0.500 0.500 0.000
Te 0.250 0.250 0.250
Te 0.250 0.750 0.750
Te 0.750 0.250 0.750
Te 0.750 0.750 0.250
Pb 0.250 0.250 0.750
Pb 0.250 0.750 0.250
Pb 0.750 0.250 0.250
Pb 0.750 0.750 0.750

total magnetization = 0.00 μB/cell
density = 5.9 g/cm3
E_form (uncorrected) = -0.4048 eV/atom
crystal system = cubic



(5)
VASP calculation (GGA-PBE) on a relaxed structure of Ca2TePb.

a b c (Å): 8.523 8.523 7.401
angles (deg): 90.00 90.00 90.00
Positions (direct):
Ca 0.237 0.750 0.125
Ca 0.250 0.237 0.875
Ca 0.250 0.263 0.375
Ca 0.263 0.750 0.625
Ca 0.737 0.250 0.625
Ca 0.750 0.737 0.375
Ca 0.750 0.763 0.875
Ca 0.763 0.250 0.125
Te 0.000 0.000 0.000
Te 0.000 0.500 0.250
Te 0.500 0.000 0.750
Te 0.500 0.500 0.500
Pb 0.000 0.000 0.500
Pb 0.000 0.500 0.750
Pb 0.500 0.000 0.250
Pb 0.500 0.500 0.000

total magnetization = 0.00 μB/cell
density = 5.1 g/cm3
E_form (uncorrected) = -0.7046 eV/atom
crystal system = tetragonal



(6)
VASP calculation (GGA-PBE) on a relaxed structure of Ca2TePb2.

a b c (Å): 8.416 8.416 4.555
angles (deg): 90.00 90.00 90.00
Positions (direct):
Ca 0.172 0.328 0.000
Ca 0.328 0.828 0.000
Ca 0.672 0.172 0.000
Ca 0.828 0.672 0.000
Te 0.000 0.000 0.500
Te 0.500 0.500 0.500
Pb 0.131 0.631 0.500
Pb 0.369 0.131 0.500
Pb 0.631 0.869 0.500
Pb 0.869 0.369 0.500

total magnetization = 0.00 μB/cell
density = 6.4 g/cm3
E_form (uncorrected) = -0.5104 eV/atom
crystal system = tetragonal



(7)
VASP calculation (GGA-PBE) on a relaxed structure of CaTe2Pb.

a b c (Å): 4.588 4.588 6.479
angles (deg): 90.00 90.00 90.00
Positions (direct):
Ca 0.000 0.000 0.000
Te 0.000 0.000 0.500
Te 0.500 0.500 0.000
Pb 0.500 0.500 0.500

total magnetization = 0.00 μB/cell
density = 6.1 g/cm3
E_form (uncorrected) = -1.0235 eV/atom
crystal system = tetragonal



(8)
VASP calculation (GGA-PBE) on a relaxed structure of Ca2Te3Pb.

a b c (Å): 4.561 6.453 13.736
angles (deg): 90.00 90.00 90.00
Positions (direct):
Ca 0.000 0.000 0.165
Ca 0.000 0.000 0.835
Ca 0.500 0.500 0.335
Ca 0.500 0.500 0.665
Te 0.000 0.500 0.171
Te 0.000 0.500 0.500
Te 0.000 0.500 0.829
Te 0.500 0.000 0.000
Te 0.500 0.000 0.329
Te 0.500 0.000 0.671
Pb 0.000 0.000 0.500
Pb 0.500 0.500 0.000

total magnetization = 0.00 μB/cell
density = 5.5 g/cm3
E_form (uncorrected) = -1.2247 eV/atom
crystal system = orthorhombic



(9)
VASP calculation (GGA-PBE) on a relaxed structure of CaTePb4.

a b c (Å): 6.510 6.510 6.510
angles (deg): 60.00 60.00 60.00
Positions (direct):
Ca 0.000 0.000 0.000
Te 0.250 0.250 0.250
Pb 0.123 0.626 0.626
Pb 0.626 0.123 0.626
Pb 0.626 0.626 0.123
Pb 0.626 0.626 0.626

total magnetization = 0.00 μB/cell
density = 8.5 g/cm3
E_form (uncorrected) = -0.1074 eV/atom
crystal system = cubic



(10)
VASP calculation (GGA-PBE) on a relaxed structure of CaTePb.

a b c (Å): 14.681 4.302 8.250
angles (deg): 90.00 107.32 90.00
Positions (direct):
Ca 0.206 0.000 0.262
Ca 0.294 0.500 0.738
Ca 0.706 0.500 0.262
Ca 0.794 0.000 0.738
Te 0.146 0.000 0.592
Te 0.354 0.500 0.408
Te 0.646 0.500 0.592
Te 0.854 0.000 0.408
Pb 0.046 0.000 0.855
Pb 0.454 0.500 0.145
Pb 0.546 0.500 0.855
Pb 0.954 0.000 0.145

total magnetization = 0.00 μB/cell
density = 5.0 g/cm3
E_form (uncorrected) = -0.4624 eV/atom
crystal system = monoclinic



(11)
VASP calculation (GGA-PBE) on a relaxed structure of CaTe2Pb.

a b c (Å): 4.581 4.581 22.594
angles (deg): 90.00 90.00 120.00
Positions (direct):
Ca 0.000 0.000 0.000
Ca 0.333 0.667 0.667
Ca 0.667 0.333 0.333
Te 0.000 0.000 0.253
Te 0.000 0.000 0.747
Te 0.333 0.667 0.414
Te 0.333 0.667 0.920
Te 0.667 0.333 0.080
Te 0.667 0.333 0.586
Pb 0.000 0.000 0.500
Pb 0.333 0.667 0.167
Pb 0.667 0.333 0.833

total magnetization = 0.00 μB/cell
density = 6.1 g/cm3
E_form (uncorrected) = -1.0073 eV/atom
crystal system = trigonal



(12)
VASP calculation (GGA-PBE) on a relaxed structure of CaTe2Pb.

a b c (Å): 7.863 7.861 3.993
angles (deg): 90.00 90.23 90.00
Positions (direct):
Ca 0.000 0.000 0.000
Ca 0.500 0.500 0.000
Te 0.250 0.250 0.500
Te 0.250 0.750 0.500
Te 0.750 0.250 0.500
Te 0.750 0.750 0.500
Pb 0.000 0.500 0.000
Pb 0.500 0.000 0.000

total magnetization = 0.00 μB/cell
density = 6.8 g/cm3
E_form (uncorrected) = -0.7786 eV/atom
crystal system = monoclinic